## one
First-principles (PBE-GGA) data for an optimized crystal structure of ZrCoBiOs, as listed in the Open Quantum Materials Database.

Properties
Its total moment is 1.9 μB/cell. The calculation puts the density at 12.81 g cm⁻³.

a = 4.6522 Å, b = 4.6522 Å, c = 4.6522 Å
α = 60.00°, β = 60.00°, γ = 60.00°
Closest atoms and distances in Å follow each position.
Atoms (fractional coordinates):
Zr  0.0000  0.0000  0.0000  4 Co 2.85, 4 Os 2.85
Co  0.7500  0.7500  0.7500  4 Bi 2.85, 4 Zr 2.85
Bi  0.5000  0.5000  0.5000  4 Co 2.85, 4 Os 2.85
Os  0.2500  0.2500  0.2500  4 Zr 2.85, 4 Bi 2.85

=====

## two
First-principles (PBE-GGA) data for an optimized crystal structure of ZrCoBiOs, as listed in the Open Quantum Materials Database.

Properties
Its total moment is 2.3 μB/cell. The calculation puts the density at 12.61 g cm⁻³.

a = 4.6772 Å, b = 4.6772 Å, c = 4.6772 Å
α = 60.00°, β = 60.00°, γ = 60.00°
Closest atoms and distances in Å follow each position.
Atoms (fractional coordinates):
Zr  0.0000  0.0000  0.0000  4 Os 2.86, 4 Bi 2.86
Co  0.5000  0.5000  0.5000  4 Os 2.86, 4 Bi 2.86
Bi  0.2500  0.2500  0.2500  4 Zr 2.86, 4 Co 2.86
Os  0.7500  0.7500  0.7500  4 Zr 2.86, 4 Co 2.86

=====

Most stable to least stable, the ends of the list are one and two.

=====

## one
First-principles (PBE-GGA) data for an optimized crystal structure of CoBiPd, as listed in the Open Quantum Materials Database.

Properties
Its total moment is 3.6 μB/cell. The calculation puts the density at 10.22 g cm⁻³.

a = 10.8892 Å, b = 10.8892 Å, c = 10.8892 Å
α = 19.17°, β = 19.17°, γ = 19.17°
Closest atoms and distances in Å follow each position.
Atoms (fractional coordinates):
Co  0.1817  0.1817  0.1817  3 Co 2.31, 1 Pd 2.54
Co  0.8183  0.8183  0.8183  3 Co 2.31, 1 Pd 2.54
Bi  0.3785  0.3785  0.3785  3 Pd 2.78
Bi  0.6215  0.6215  0.6215  3 Pd 2.78
Pd  0.1025  0.1025  0.1025  4 Co 2.54-2.62, 3 Bi 2.78
Pd  0.8975  0.8975  0.8975  4 Co 2.54-2.62, 3 Bi 2.78

=====

## two
First-principles (PBE-GGA) data for an optimized crystal structure of CoBiPd, as listed in the Open Quantum Materials Database.

Properties
Its total moment is 1.0 μB/cell. The calculation puts the density at 11.00 g cm⁻³.

a = 4.3072 Å, b = 4.3072 Å, c = 4.3072 Å
α = 60.00°, β = 60.00°, γ = 60.00°
Closest atoms and distances in Å follow each position.
Atoms (fractional coordinates):
Co  0.0000  0.0000  0.0000  4 Bi 2.64, 4 Pd 2.64
Bi  0.7500  0.7500  0.7500  4 Co 2.64
Pd  0.2500  0.2500  0.2500  4 Co 2.64

=====

Most stable to least stable, the ends of the list are two and one.

=====

## one
First-principles (PBE-GGA) data for an optimized crystal structure of ZrCoBiPd, as listed in the Open Quantum Materials Database.

Properties
Its total moment is 0.8 μB/cell. The calculation puts the density at 10.59 g cm⁻³.

a = 4.6910 Å, b = 4.6910 Å, c = 4.6910 Å
α = 60.00°, β = 60.00°, γ = 60.00°
Closest atoms and distances in Å follow each position.
Atoms (fractional coordinates):
Zr  0.0000  0.0000  0.0000  4 Pd 2.87, 4 Bi 2.87
Co  0.5000  0.5000  0.5000  4 Pd 2.87, 4 Bi 2.87
Bi  0.2500  0.2500  0.2500  4 Zr 2.87, 4 Co 2.87
Pd  0.7500  0.7500  0.7500  4 Zr 2.87, 4 Co 2.87

=====

## two
First-principles (PBE-GGA) data for an optimized crystal structure of ZrCoBiPd, as listed in the Open Quantum Materials Database.

Properties
Its total moment is 0.0 μB/cell. The calculation puts the density at 10.64 g cm⁻³.

a = 4.6844 Å, b = 4.6844 Å, c = 4.6844 Å
α = 60.00°, β = 60.00°, γ = 60.00°
Closest atoms and distances in Å follow each position.
Atoms (fractional coordinates):
Zr  0.0000  0.0000  0.0000  4 Co 2.87, 4 Pd 2.87
Co  0.7500  0.7500  0.7500  4 Bi 2.87, 4 Zr 2.87
Bi  0.5000  0.5000  0.5000  4 Co 2.87, 4 Pd 2.87
Pd  0.2500  0.2500  0.2500  4 Bi 2.87, 4 Zr 2.87

=====

Most stable to least stable, the ends of the list are two and one.